Record 1
This record from Alexandria via LeMat-Bulk describes a relaxed Ga2AgSn2 crystal. The functional is PBE-GGA.

Calculated values
SG: I4/mmm
Offset from the most stable computed form in kJ per mole of atoms: 16.02

Cell and atoms, written as POSCAR:
```
Ga2AgSn2
1.0
4.652 0.000 0.000
0.000 4.652 0.000
2.326 2.326 5.725
Sn Ga Ag
2 2 1
Direct
0.750 0.250 0.500 Sn
0.250 0.750 0.500 Sn
0.606 0.606 0.789 Ga
0.394 0.394 0.211 Ga
0.000 0.000 0.000 Ag
```

***

Record 2
This record from Alexandria via LeMat-Bulk describes a relaxed Ga2AgSn crystal. The functional is PBE-GGA.

Calculated values
SG: I-42d

Cell and atoms, written as POSCAR:
```
Ga2AgSn
1.0
4.393 0.000 0.000
0.000 4.393 0.000
2.197 2.197 9.127
Sn Ag Ga
2 2 4
Direct
0.750 0.250 0.500 Sn
0.000 0.000 0.000 Sn
0.500 0.500 0.000 Ag
0.250 0.750 0.500 Ag
0.179 0.625 0.250 Ga
0.571 0.125 0.250 Ga
0.375 0.429 0.750 Ga
0.875 0.821 0.750 Ga
```

***

Number 1: formation energy 0.240 eV per atom. Number 2: formation energy 0.088 eV per atom.